(1)
A plane-wave DFT calculation with GGA-PBE was carried out for an optimized crystal structure of TaCuRe2.

Unit cell a=2.796 b=2.796 c=27.337 alpha=90.00 beta=90.00 gamma=120.00
Fractional coordinates of all 12 atoms:
Ta 0.000 0.000 0.000
Ta 0.333 0.667 0.667
Ta 0.667 0.333 0.333
Cu 0.000 0.000 0.751
Cu 0.333 0.667 0.417
Cu 0.667 0.333 0.084
Re 0.000 0.000 0.243
Re 0.000 0.000 0.499
Re 0.333 0.667 0.165
Re 0.333 0.667 0.910
Re 0.667 0.333 0.576
Re 0.667 0.333 0.832

Calculated values
Crystal system = trigonal



(2)
A plane-wave DFT calculation with GGA-PBE was carried out for an optimized crystal structure of TaCuRe2.

Unit cell a=2.677 b=2.677 c=8.483 alpha=90.00 beta=90.00 gamma=90.00
Fractional coordinates of all 4 atoms:
Ta 0.000 0.000 0.000
Cu 0.000 0.000 0.500
Re 0.500 0.500 0.269
Re 0.500 0.500 0.731

Calculated values
Crystal system = tetragonal



(3)
A plane-wave DFT calculation with GGA-PBE was carried out for an optimized crystal structure of Ta2CuRe.

Unit cell a=2.758 b=4.157 c=5.689 alpha=90.00 beta=97.42 gamma=90.00
Fractional coordinates of all 4 atoms:
Ta 0.084 0.000 0.255
Ta 0.916 0.000 0.745
Cu 0.500 0.500 0.000
Re 0.500 0.500 0.500

Calculated values
Crystal system = monoclinic



(4)
A plane-wave DFT calculation with GGA-PBE was carried out for an optimized crystal structure of TaCuRe2.

Unit cell a=3.881 b=3.881 c=3.980 alpha=90.00 beta=90.00 gamma=90.00
Fractional coordinates of all 4 atoms:
Ta 0.000 0.000 0.000
Cu 0.500 0.500 0.000
Re 0.000 0.500 0.500
Re 0.500 0.000 0.500

Calculated values
Crystal system = tetragonal



(5)
A plane-wave DFT calculation with GGA-PBE was carried out for an optimized crystal structure of Ta2CuRe.

Unit cell a=3.245 b=4.514 c=8.751 alpha=90.00 beta=90.00 gamma=90.00
Fractional coordinates of all 8 atoms:
Ta 0.000 0.000 0.247
Ta 0.000 0.000 0.753
Ta 0.500 0.500 0.247
Ta 0.500 0.500 0.753
Cu 0.000 0.500 0.000
Cu 0.500 0.000 0.000
Re 0.000 0.500 0.500
Re 0.500 0.000 0.500

Calculated values
Crystal system = orthorhombic



(6)
A plane-wave DFT calculation with GGA-PBE was carried out for an optimized crystal structure of Ta2CuRe.

Unit cell a=2.812 b=2.812 c=28.471 alpha=90.00 beta=90.00 gamma=120.00
Fractional coordinates of all 12 atoms:
Ta 0.000 0.000 0.248
Ta 0.000 0.000 0.752
Ta 0.333 0.667 0.419
Ta 0.333 0.667 0.914
Ta 0.667 0.333 0.086
Ta 0.667 0.333 0.581
Cu 0.000 0.000 0.500
Cu 0.333 0.667 0.167
Cu 0.667 0.333 0.833
Re 0.000 0.000 0.000
Re 0.333 0.667 0.667
Re 0.667 0.333 0.333

Calculated values
Crystal system = trigonal



(7)
A plane-wave DFT calculation with GGA-PBE was carried out for an optimized crystal structure of Ta2CuRe.

Unit cell a=2.752 b=2.752 c=8.447 alpha=90.00 beta=90.00 gamma=90.00
Fractional coordinates of all 4 atoms:
Ta 0.000 0.000 0.239
Ta 0.000 0.000 0.761
Cu 0.500 0.500 0.000
Re 0.500 0.500 0.500

Calculated values
Crystal system = tetragonal



(8)
A plane-wave DFT calculation with GGA-PBE was carried out for an optimized crystal structure of TaCuRe2.

Unit cell a=2.670 b=4.455 c=5.180 alpha=90.00 beta=98.67 gamma=90.00
Fractional coordinates of all 4 atoms:
Ta 0.000 0.000 0.000
Cu 0.500 0.000 0.500
Re 0.251 0.500 0.740
Re 0.749 0.500 0.260

Calculated values
Crystal system = monoclinic



(9)
A plane-wave DFT calculation with GGA-PBE was carried out for an optimized crystal structure of TaCuRe2.

Unit cell a=2.756 b=2.756 c=28.044 alpha=90.00 beta=90.00 gamma=120.00
Fractional coordinates of all 12 atoms:
Ta 0.000 0.000 0.000
Ta 0.333 0.667 0.667
Ta 0.667 0.333 0.333
Cu 0.000 0.000 0.500
Cu 0.333 0.667 0.167
Cu 0.667 0.333 0.833
Re 0.000 0.000 0.245
Re 0.000 0.000 0.755
Re 0.333 0.667 0.422
Re 0.333 0.667 0.911
Re 0.667 0.333 0.089
Re 0.667 0.333 0.578

Calculated values
Crystal system = trigonal



(10)
A plane-wave DFT calculation with GGA-PBE was carried out for an optimized crystal structure of Ta2CuRe.

Unit cell a=6.358 b=6.358 c=6.358 alpha=90.00 beta=90.00 gamma=90.00
Fractional coordinates of all 16 atoms:
Ta 0.250 0.250 0.250
Ta 0.250 0.250 0.750
Ta 0.250 0.750 0.250
Ta 0.250 0.750 0.750
Ta 0.750 0.250 0.250
Ta 0.750 0.250 0.750
Ta 0.750 0.750 0.250
Ta 0.750 0.750 0.750
Cu 0.000 0.000 0.000
Cu 0.000 0.500 0.500
Cu 0.500 0.000 0.500
Cu 0.500 0.500 0.000
Re 0.000 0.000 0.500
Re 0.000 0.500 0.000
Re 0.500 0.000 0.000
Re 0.500 0.500 0.500

Calculated values
Crystal system = cubic



(11)
A plane-wave DFT calculation with GGA-PBE was carried out for an optimized crystal structure of Ta2CuRe.

Unit cell a=3.895 b=3.895 c=8.454 alpha=90.00 beta=90.00 gamma=90.00
Fractional coordinates of all 8 atoms:
Ta 0.000 0.000 0.000
Ta 0.000 0.500 0.250
Ta 0.500 0.000 0.750
Ta 0.500 0.500 0.500
Cu 0.000 0.500 0.750
Cu 0.500 0.000 0.250
Re 0.000 0.000 0.500
Re 0.500 0.500 0.000

Calculated values
Crystal system = tetragonal



(12)
A plane-wave DFT calculation with GGA-PBE was carried out for an optimized crystal structure of Ta2CuRe.

Unit cell a=6.330 b=6.350 c=3.188 alpha=90.00 beta=90.00 gamma=90.00
Fractional coordinates of all 8 atoms:
Ta 0.250 0.250 0.000
Ta 0.250 0.750 0.000
Ta 0.750 0.250 0.000
Ta 0.750 0.750 0.000
Cu 0.000 0.000 0.500
Cu 0.500 0.500 0.500
Re 0.000 0.500 0.500
Re 0.500 0.000 0.500

Calculated values
Crystal system = orthorhombic



(13)
A plane-wave DFT calculation with GGA-PBE was carried out for an optimized crystal structure of TaCuRe2.

Unit cell a=7.067 b=7.067 c=5.235 alpha=90.00 beta=90.00 gamma=90.00
Fractional coordinates of all 16 atoms:
Ta 0.000 0.000 0.000
Ta 0.000 0.500 0.250
Ta 0.500 0.000 0.750
Ta 0.500 0.500 0.500
Cu 0.000 0.000 0.500
Cu 0.000 0.500 0.750
Cu 0.500 0.000 0.250
Cu 0.500 0.500 0.000
Re 0.233 0.250 0.625
Re 0.250 0.733 0.875
Re 0.250 0.767 0.375
Re 0.267 0.250 0.125
Re 0.733 0.750 0.125
Re 0.750 0.233 0.375
Re 0.750 0.267 0.875
Re 0.767 0.750 0.625

Calculated values
Crystal system = tetragonal



(14)
A plane-wave DFT calculation with GGA-PBE was carried out for an optimized crystal structure of Ta2CuRe.

Unit cell a=2.734 b=2.734 c=8.549 alpha=90.00 beta=90.00 gamma=90.00
Fractional coordinates of all 4 atoms:
Ta 0.000 0.000 0.000
Ta 0.500 0.500 0.276
Cu 0.000 0.000 0.516
Re 0.500 0.500 0.735

Calculated values
Crystal system = tetragonal



(15)
A plane-wave DFT calculation with GGA-PBE was carried out for an optimized crystal structure of TaCu4Re.

Unit cell a=4.808 b=4.808 c=4.808 alpha=60.00 beta=60.00 gamma=60.00
Fractional coordinates of all 6 atoms:
Ta 0.000 0.000 0.000
Cu 0.125 0.625 0.625
Cu 0.625 0.125 0.625
Cu 0.625 0.625 0.125
Cu 0.625 0.625 0.625
Re 0.250 0.250 0.250

Calculated values
Crystal system = cubic



(16)
A plane-wave DFT calculation with GGA-PBE was carried out for an optimized crystal structure of Ta2Cu2Re.

Unit cell a=6.719 b=6.719 c=3.326 alpha=90.00 beta=90.00 gamma=90.00
Fractional coordinates of all 10 atoms:
Ta 0.182 0.318 0.000
Ta 0.318 0.818 0.000
Ta 0.682 0.182 0.000
Ta 0.818 0.682 0.000
Cu 0.121 0.621 0.500
Cu 0.379 0.121 0.500
Cu 0.621 0.879 0.500
Cu 0.879 0.379 0.500
Re 0.000 0.000 0.500
Re 0.500 0.500 0.500

Calculated values
Crystal system = tetragonal



(17)
A plane-wave DFT calculation with GGA-PBE was carried out for an optimized crystal structure of TaCuRe2.

Unit cell a=2.752 b=4.370 c=5.148 alpha=90.00 beta=100.71 gamma=90.00
Fractional coordinates of all 4 atoms:
Ta 0.000 0.000 0.000
Cu 0.575 0.500 0.209
Re 0.229 0.500 0.690
Re 0.564 0.000 0.497

Calculated values
Crystal system = monoclinic



(18)
A plane-wave DFT calculation with GGA-PBE was carried out for an optimized crystal structure of Ta4CuRe.

Unit cell a=5.328 b=5.328 c=5.328 alpha=60.00 beta=60.00 gamma=60.00
Fractional coordinates of all 6 atoms:
Ta 0.376 0.376 0.376
Ta 0.376 0.376 0.871
Ta 0.376 0.871 0.376
Ta 0.871 0.376 0.376
Cu 0.000 0.000 0.000
Re 0.750 0.750 0.750

Calculated values
Crystal system = cubic



(19)
A plane-wave DFT calculation with GGA-PBE was carried out for an optimized crystal structure of TaCuRe2.

Unit cell a=9.011 b=3.096 c=4.557 alpha=90.00 beta=106.12 gamma=90.00
Fractional coordinates of all 8 atoms:
Ta 0.000 0.000 0.000
Ta 0.500 0.500 0.000
Cu 0.000 0.500 0.500
Cu 0.500 0.000 0.500
Re 0.246 0.000 0.728
Re 0.254 0.500 0.272
Re 0.746 0.500 0.728
Re 0.754 0.000 0.272

Calculated values
Crystal system = monoclinic



(20)
A plane-wave DFT calculation with GGA-PBE was carried out for an optimized crystal structure of TaCuRe2.

Unit cell a=3.208 b=4.361 c=8.669 alpha=90.00 beta=90.00 gamma=90.00
Fractional coordinates of all 8 atoms:
Ta 0.000 0.000 0.000
Ta 0.500 0.500 0.000
Cu 0.000 0.000 0.500
Cu 0.500 0.500 0.500
Re 0.000 0.500 0.259
Re 0.000 0.500 0.741
Re 0.500 0.000 0.259
Re 0.500 0.000 0.741

Calculated values
Crystal system = orthorhombic



Energy of formation (computed, meV per atom): 188.4, 286.4, 55.4, 53.6, 10.4, 268.7, 151.7, 109.1, 287.6, -60.1, 112.0, -95.2, 877.7, 200.9, 118.1, 129.0, 80.6, 596.4, 129.6, 120.2
Calculated density (computed, Mg/m³): 16.6, 16.9, 15.7, 17.1, 15.8, 15.6, 15.9, 16.8, 16.7, 15.8, 15.8, 15.8, 15.7, 15.9, 13.1, 14.9, 16.8, 15.1, 16.8, 16.9